Record 1
Entry from the Alexandria database: a PBEsol-optimized structure of Ag2MoIr (meta-GGA SCAN).

Results
Energy above the most stable polymorph in this dataset   468 meV/atom
ΔE_f   0.905 eV/atom
Calculated volume   15.49 A^3/atom
Total magnetization   0.01 Bohr magnetons per cell

Geometry as CIF:
```
data_Ag2MoIr
_space_group_name_H-M_alt 'P 4/m m m'
_space_group_IT_number 123
_space_group_name_Hall '-P 4 2'
_cell_length_a 4.674
_cell_length_b 4.674
_cell_length_c 2.837
_cell_angle_alpha 90.00
_cell_angle_beta 90.00
_cell_angle_gamma 90.00
loop_
_atom_site_label
_atom_site_type_symbol
_atom_site_fract_x
_atom_site_fract_y
_atom_site_fract_z
Ag1 Ag 0.000 0.500 0.000
Mo1 Mo 0.000 0.000 0.500
Ir1 Ir 0.500 0.500 0.500
```



Record 2
Entry from the Alexandria database: a PBEsol-optimized structure of Ag3MoIr (meta-GGA SCAN).

Results
ΔE_f   1.774 eV/atom
Calculated volume   23.36 A^3/atom
Total magnetization   4.62 Bohr magnetons per cell

Geometry as CIF:
```
data_Ag3MoIr
_space_group_name_H-M_alt 'P m -3 m'
_space_group_IT_number 221
_space_group_name_Hall '-P 4 2 3'
_cell_length_a 4.888
_cell_length_b 4.888
_cell_length_c 4.888
_cell_angle_alpha 90.00
_cell_angle_beta 90.00
_cell_angle_gamma 90.00
loop_
_atom_site_label
_atom_site_type_symbol
_atom_site_fract_x
_atom_site_fract_y
_atom_site_fract_z
Ag1 Ag 0.000 0.000 0.500
Mo1 Mo 0.500 0.500 0.500
Ir1 Ir 0.000 0.000 0.000
```